KTiAu3 | PBEsol | optimized geometry

a = 5.1760 Å, b = 5.1760 Å, c = 5.1760 Å
α = 90.00°, β = 90.00°, γ = 90.00°
Atoms (fractional coordinates):
K: 0.0000 0.0000 0.0000
Ti: 0.5000 0.5000 0.5000
Au: 0.0000 0.0000 0.5000
Au: 0.0000 0.5000 0.0000
Au: 0.5000 0.0000 0.0000

Values from the calculation:
calculated formation energy	1.5366	eV/atom
symmetry	Pm-3m
E_tot	-2.71	eV/atom

KTlAu4 | PBEsol | optimized geometry

a = 5.6179 Å, b = 5.6179 Å, c = 5.6179 Å
α = 60.00°, β = 60.00°, γ = 60.00°
Atoms (fractional coordinates):
K: 0.0000 0.0000 0.0000
Tl: 0.2500 0.2500 0.2500
Au: 0.1249 0.6250 0.6250
Au: 0.6250 0.1249 0.6250
Au: 0.6250 0.6250 0.1249
Au: 0.6250 0.6250 0.6250

Values from the calculation:
calculated formation energy	-0.1184	eV/atom
symmetry	F-43m
E_tot	-3.36	eV/atom

KTl2Au2 | PBEsol | optimized geometry

a = 8.6998 Å, b = 8.6998 Å, c = 3.2377 Å
α = 90.00°, β = 90.00°, γ = 90.00°
Atoms (fractional coordinates):
K: 0.0000 0.0000 0.0000
K: 0.5000 0.5000 0.0000
Tl: 0.1307 0.3693 0.0000
Tl: 0.3693 0.8693 0.0000
Tl: 0.6307 0.1307 0.0000
Tl: 0.8693 0.6307 0.0000
Au: 0.1671 0.6671 0.5000
Au: 0.3329 0.1671 0.5000
Au: 0.6671 0.8329 0.5000
Au: 0.8329 0.3329 0.5000

Values from the calculation:
calculated formation energy	-0.0569	eV/atom
symmetry	P4/mbm
energy relative to the lowest polymorph listed for this composition	0.22	eV per formula unit
E_tot	-2.91	eV/atom

KTlAu | PBEsol | optimized geometry

a = 4.9154 Å, b = 4.9154 Å, c = 4.1625 Å
α = 90.00°, β = 90.00°, γ = 120.00°
Atoms (fractional coordinates):
K: 0.0000 0.0000 0.0000
Tl: 0.6667 0.3333 0.5000
Au: 0.3333 0.6667 0.5000

Values from the calculation:
calculated formation energy	-0.1009	eV/atom
symmetry	P-6m2
E_tot	-2.66	eV/atom

KTl2Au2 | PBEsol | optimized geometry

a = 6.3690 Å, b = 6.3690 Å, c = 6.3690 Å
α = 132.26°, β = 132.26°, γ = 69.81°
Atoms (fractional coordinates):
K: 0.0000 0.0000 0.0000
Tl: 0.3556 0.3556 0.0000
Tl: 0.6444 0.6444 0.0000
Au: 0.2500 0.7500 0.5000
Au: 0.7500 0.2500 0.5000

Values from the calculation:
calculated formation energy	-0.1001	eV/atom
symmetry	I4/mmm
energy relative to the lowest polymorph listed for this composition	0.00	eV per formula unit
E_tot	-2.95	eV/atom

KTlAu | PBEsol | optimized geometry

a = 6.5003 Å, b = 6.5003 Å, c = 6.5003 Å
α = 146.40°, β = 146.28°, γ = 48.35°
Atoms (fractional coordinates):
K: 0.0000 0.0000 0.0000
Tl: 0.7089 0.7089 0.0000
Au: 0.3080 0.3080 0.0000

Values from the calculation:
calculated formation energy	-0.1042	eV/atom
symmetry	Imm2
E_tot	-2.67	eV/atom

K2WAu | PBEsol | optimized geometry

a = 5.2911 Å, b = 5.2911 Å, c = 5.2911 Å
α = 60.00°, β = 60.00°, γ = 60.00°
Atoms (fractional coordinates):
K: 0.0000 0.0000 0.0000
K: 0.2500 0.2500 0.2500
W: 0.7500 0.7500 0.7500
Au: 0.5000 0.5000 0.5000

Values from the calculation:
calculated formation energy	1.4297	eV/atom
symmetry	F-43m
energy relative to the lowest polymorph listed for this composition	1.16	eV per formula unit
E_tot	-3.57	eV/atom

KW2Au | PBEsol | optimized geometry

a = 2.6535 Å, b = 5.0973 Å, c = 5.5674 Å
α = 90.00°, β = 90.00°, γ = 90.00°
Atoms (fractional coordinates):
K: 0.0000 0.0000 0.0000
W: 0.0000 0.5000 0.5000
W: 0.5000 0.0000 0.5000
Au: 0.5000 0.5000 0.0000

Values from the calculation:
calculated formation energy	1.2168	eV/atom
symmetry	Pmmm
energy relative to the lowest polymorph listed for this composition	1.84	eV per formula unit
E_tot	-6.95	eV/atom